Na2UMoO8 | PBE with a Hubbard U | relaxed

Geometry as POSCAR:
```
Na2UMoO8
1.0
-1.6036 4.1759 -2.6248
-0.0065 -2.9638 -4.2711
-6.2944 -1.6790 1.1745
Na O U Mo
2 8 1 1
direct
0.5000 0.5000 0.2388 Na
0.5000 0.5000 0.7612 Na
0.8279 0.1733 0.2249 O
0.1721 0.8267 0.2249 O
0.8279 0.1733 0.7751 O
0.1721 0.8267 0.7751 O
0.2622 0.2599 0.0000 O
0.2608 0.2588 0.5000 O
0.7378 0.7401 0.0000 O
0.7392 0.7412 0.5000 O
0.0000 0.0000 0.5000 U
0.0000 0.0000 0.0000 Mo
```

Calculated values
**Uncorrected energy**: -6.911 eV/atom
**Magnetic moment**: 2.0 μB/f.u.
**DOS at the Fermi energy**: 5.263 states/eV/f.u.
**Space group**: P2/m (10)